## AlTeWN2 (PBE)

Data for a relaxed structure of AlTeWN2.

Values from the calculation:
ΔE to the lowest computed polymorph ... 1.050 eV/atom
Calculated volume ... 15.89 A^3/atom
Raw total energy ... -5.8348 eV per atom
ΔE_f (raw) ... 1.46 eV/atom

Cell lengths 3.7991, 3.7991, 5.5050 Å; angles 90.00, 90.00, 90.00 degrees
Last column: nearest neighbours and their distance in Å.
Fractional positions:
1 Al 0.0000 0.0000 0.0000  4 N 1.90
2 Te 0.0000 0.0000 0.5000  4 W 2.69, 2 Al 2.75
3 W 0.5000 0.5000 0.5000  4 Te 2.69
4 N 0.0000 0.5000 0.0000  2 Al 1.90
5 N 0.5000 0.0000 0.0000  2 Al 1.90

---

## CeMnNiGe2 (PBE)

Data for a relaxed structure of CeMnNiGe2.

Values from the calculation:
Calculated volume ... 16.80 A^3/atom
Raw total energy ... -6.5195 eV per atom
DFT formation energy ... -0.50 eV per atom

Cell lengths 5.8461, 5.8461, 5.8461 Å; angles 139.34, 139.34, 58.85 degrees
Last column: nearest neighbours and their distance in Å.
Fractional positions:
1 Ce 0.0000 0.0000 0.0000  8 Ge 3.16, 4 Mn 3.26, 4 Ni 3.26
2 Mn 0.7500 0.2500 0.5000  4 Ge 2.37
3 Ni 0.2500 0.7500 0.5000  4 Ge 2.37
4 Ge 0.3704 0.3704 0.0000  2 Mn 2.37, 2 Ni 2.37, 1 Ge 2.64
5 Ge 0.6296 0.6296 0.0000  2 Mn 2.37, 2 Ni 2.37, 1 Ge 2.64

---

## PmHoZr2 (PBE)

Data for a relaxed structure of PmHoZr2.

Values from the calculation:
ΔE to the lowest computed polymorph ... 0.000 eV/atom
Calculated volume ... 27.03 A^3/atom
Raw total energy ... -6.4550 eV per atom
DFT formation energy ... 0.15 eV per atom

Cell lengths 4.7319, 4.7319, 4.8292 Å; angles 90.00, 90.00, 90.00 degrees
Last column: nearest neighbours and their distance in Å.
Fractional positions:
1 Pm 0.0000 0.0000 0.0000  4 Ho 3.35, 8 Zr 3.38
2 Ho 0.5000 0.5000 0.0000  4 Pm 3.35, 8 Zr 3.38
3 Zr 0.0000 0.5000 0.5000  4 Zr 3.35, 4 Ho 3.38, 4 Pm 3.38
4 Zr 0.5000 0.0000 0.5000  4 Zr 3.35, 4 Ho 3.38, 4 Pm 3.38

---

## MgSbPb2 (PBE)

Data for a relaxed structure of MgSbPb2.

Values from the calculation:
ΔE to the lowest computed polymorph ... 0.084 eV/atom
Calculated volume ... 28.84 A^3/atom
Raw total energy ... -3.2314 eV per atom
ΔE_f (raw) ... 0.05 eV/atom

Cell lengths 3.3950, 5.8601, 5.7992 Å; angles 90.00, 91.17, 90.00 degrees
Last column: nearest neighbours and their distance in Å.
Fractional positions:
1 Mg 0.0000 0.0000 0.0000  4 Sb 3.33-3.39, 4 Pb 3.37, 2 Mg 3.40
2 Sb 0.5000 0.0000 0.5000  4 Mg 3.33-3.39, 4 Pb 3.37, 2 Sb 3.40
3 Pb 0.2602 0.5000 0.2452  6 Pb 3.31-3.47, 2 Mg 3.37, 2 Sb 3.37
4 Pb 0.7398 0.5000 0.7548  6 Pb 3.31-3.47, 2 Mg 3.37, 2 Sb 3.37

---

## NbFe2I (PBE)

Data for a relaxed structure of NbFe2I.

Values from the calculation:
ΔE to the lowest computed polymorph ... 0.000 eV/atom
Calculated volume ... 15.93 A^3/atom
Raw total energy ... -6.3183 eV per atom
ΔE_f (raw) ... 0.82 eV/atom

Cell lengths 4.4829, 4.4829, 4.4829 Å; angles 60.00, 60.00, 60.00 degrees
Last column: nearest neighbours and their distance in Å.
Fractional positions:
1 Nb 0.0000 0.0000 0.0000  8 Fe 2.75
2 Fe 0.2500 0.2500 0.2500  4 Nb 2.75, 4 I 2.75
3 Fe 0.7500 0.7500 0.7500  4 Nb 2.75, 4 I 2.75
4 I 0.5000 0.5000 0.5000  8 Fe 2.75

---

## AlCdPt2IN (PBE)

Data for a relaxed structure of AlCdPt2IN.

Values from the calculation:
ΔE to the lowest computed polymorph ... 0.045 eV/atom
Calculated volume ... 24.56 A^3/atom
Raw total energy ... -4.4673 eV per atom
ΔE_f (raw) ... -0.03 eV/atom

Cell lengths 4.7462, 4.7462, 8.4847 Å; angles 97.41, 97.41, 51.17 degrees
Last column: nearest neighbours and their distance in Å.
Fractional positions:
1 Al 0.0000 0.0000 0.0000  1 N 1.86
2 Cd 0.5227 0.5227 0.3179  1 Pt 2.63, 1 I 2.88
3 Pt 0.2618 0.2618 0.8739  2 N 2.07
4 Pt 0.6412 0.6412 0.0484  1 N 2.05
5 I 0.2768 0.2768 0.5162  1 Cd 2.88, 1 Pt 3.06
6 N 0.7971 0.7971 0.8862  1 Al 1.86, 3 Pt 2.05-2.07

---

Question: Which of these has the highest calculated volume?
Answer: MgSbPb2

---

Question: Which value of raw total energy does entry 2 give?
Answer: -6.5195 eV per atom